# 1
Density functional theory data (PBE-GGA) for a relaxed PrAlInAu2 crystal.

Summary:
The value obtained for the electronic total energy is -4.171 eV per atom.

Cell and atoms, written as extended XYZ:
```
10
Lattice="-1.5472 -1.8222 -3.8568 3.0303 -3.3569 0.3704 -7.2306 -5.8994 5.6878" Properties=species:S:1:pos:R:3 pbc="T T T"
Al -3.6153 -2.9497 2.8439
Al -2.8737 -5.5392 1.1007
Au 0.0000 0.0000 0.0000
Au 0.7416 -2.5896 -1.7432
Au -3.5801 -3.2009 0.2793
Au -2.9090 -5.2881 3.6654
In -1.8114 -1.7578 -1.1120
In -4.6777 -6.7311 5.0567
Pr -0.3419 -3.1936 1.6461
Pr -6.1471 -5.2953 2.2986
```


# 2
Density functional theory data (PBE-GGA) for a relaxed SrTcO3 crystal.

Summary:
The value obtained for the electronic total energy is -7.415 eV per atom.

Cell and atoms, written as extended XYZ:
```
20
Lattice="-1.8206 -2.7316 -4.4931 1.4259 -6.8749 3.6018 -5.1899 0.0192 2.0913" Properties=species:S:1:pos:R:3 pbc="T T T"
O -1.0083 -7.8851 -1.6848
O -2.5611 -2.1874 -2.7354
O -1.9184 -5.2862 -1.1118
O -1.7495 -0.8212 -0.4491
O -1.1067 -3.9200 1.1744
O -2.1763 -6.5116 1.3992
O -3.4082 -3.0757 -0.1992
O -4.4778 -5.6673 0.0256
O -3.8350 -8.7661 1.6491
O -3.6662 -4.3011 2.3118
O -3.0234 -7.3999 3.9354
O -4.5762 -1.7022 2.8848
Sr -0.5526 -3.0664 -1.3119
Sr -4.0361 -4.4227 -2.5216
Sr -1.5485 -5.1646 3.7216
Sr -5.0320 -6.5209 2.5119
Tc 0.0000 0.0000 0.0000
Tc 0.7130 -3.4374 1.8009
Tc -3.5052 -1.3562 -1.2009
Tc -2.7923 -4.7936 0.6000
```


# 3
Density functional theory data (PBE-GGA) for a relaxed CsFeTe2AuSe crystal.

Summary:
The value obtained for the electronic total energy is -3.891 eV per atom.

Cell and atoms, written as extended XYZ:
```
12
Lattice="6.9040 -0.8382 -4.9854 -7.7355 3.1530 1.8555 4.7958 8.7205 5.1752" Properties=species:S:1:pos:R:3 pbc="T T T"
Au -5.9450 5.1718 2.8728
Au 9.9093 5.8634 -0.8276
Cs 4.4322 2.3427 -1.9764
Cs -0.4680 8.6926 4.0216
Fe -0.4158 1.1574 -1.5650
Fe 1.9821 5.5176 1.0226
Se -0.1361 3.5881 0.1584
Se 4.1004 7.4471 1.8868
Te -6.0531 2.9820 1.2821
Te -3.9304 6.8419 3.5727
Te 7.8947 4.1933 -1.5275
Te 10.0174 8.0532 0.7631
```


# 4
Density functional theory data (PBE-GGA) for a relaxed ErZrMo2C3 crystal.

Summary:
The value obtained for the electronic total energy is -9.307 eV per atom.

Cell and atoms, written as extended XYZ:
```
7
Lattice="-0.8062 -1.7454 -5.5621 -1.1422 -4.4386 -3.6916 -4.7983 1.9709 1.9759" Properties=species:S:1:pos:R:3 pbc="T T T"
C -1.7494 -1.1637 -1.9897
C -5.0526 -3.0792 -5.3409
C -6.6801 -4.2201 -7.2759
Er -2.7124 -3.1734 -5.0562
Mo -2.3407 -5.0041 -7.6252
Mo -4.4420 0.7872 0.3356
Zr -4.0095 -0.9992 -2.1588
```


# 5
Density functional theory data (PBE-GGA) for a relaxed Nd3Mg3Pt2Au crystal.

Summary:
The value obtained for the electronic total energy is -4.633 eV per atom.

Cell and atoms, written as extended XYZ:
```
9
Lattice="-5.2119 4.7374 -2.8782 0.2973 -7.2236 -2.3713 -2.6437 -1.0909 2.9917" Properties=species:S:1:pos:R:3 pbc="T T T"
Au -1.3219 -0.5455 1.4959
Mg -3.9279 3.5703 -2.1691
Mg -1.2107 -0.6125 -1.2932
Mg 0.2241 -5.4440 -1.7871
Nd -3.4997 1.4341 0.2932
Nd -1.1976 -3.5639 0.5050
Nd -4.1828 -1.9927 -1.5601
Pt -3.3755 0.7504 -2.7092
Pt -1.5391 -3.2366 -2.5403
```


# 6
Density functional theory data (PBE-GGA) for a relaxed Al2FeNi crystal.

Summary:
The value obtained for the electronic total energy is -5.846 eV per atom.

Cell and atoms, written as extended XYZ:
```
16
Lattice="5.7236 0.0000 0.0000 0.0000 4.0562 0.0000 0.0000 0.0000 8.1114" Properties=species:S:1:pos:R:3 pbc="T T T"
Al 2.8619 3.0421 1.0140
Al 0.0000 3.0421 1.0142
Al 2.8619 1.0140 3.0415
Al 0.0000 1.0140 3.0417
Al 0.0000 3.0421 5.0697
Al 2.8617 3.0421 5.0699
Al 0.0000 1.0140 7.0972
Al 2.8616 1.0140 7.0974
Fe 4.2928 1.0140 1.0138
Fe 1.4311 3.0421 3.0419
Fe 4.2925 1.0140 5.0695
Fe 1.4307 3.0421 7.0976
Ni 1.4309 1.0140 1.0138
Ni 4.2927 3.0421 3.0419
Ni 1.4309 1.0140 5.0695
Ni 4.2927 3.0421 7.0976
```


# 7
Density functional theory data (PBE-GGA) for a relaxed SbMo2N crystal.

Summary:
The value obtained for the electronic total energy is -8.495 eV per atom.

Cell and atoms, written as extended XYZ:
```
24
Lattice="-0.4323 5.6531 1.1311 -4.0272 1.9129 3.6805 9.5266 -3.8008 7.8574" Properties=species:S:1:pos:R:3 pbc="T T T"
Mo -1.5411 2.7414 2.9446
Mo -3.0271 5.2643 4.5491
Mo -0.0527 0.2212 1.3408
Mo -0.2418 4.8219 7.8239
Mo 2.7305 -0.2233 4.6170
Mo 1.2437 2.2987 6.2220
Mo 3.8233 1.4665 6.4470
Mo 2.3365 3.9885 8.0520
Mo 5.3089 -1.0567 4.8452
Mo 5.1198 3.5440 11.3283
Mo 8.0941 -1.4991 8.1200
Mo 6.6081 1.0238 9.7245
N -2.0136 0.9564 1.8403
N -0.9593 4.0871 1.3695
N 3.0592 3.4472 6.0971
N 4.5471 0.9262 4.4943
N 2.0079 0.3180 6.5719
N 6.0263 -0.3219 11.2996
Sb -0.2948 4.4024 4.9613
Sb -1.3485 1.2718 5.4342
Sb 1.1921 1.8806 3.3583
Sb 3.8750 1.8846 9.3108
Sb 6.4155 2.4934 7.2349
Sb 5.3619 -0.6372 7.7078
```


# 8
Density functional theory data (PBE-GGA) for a relaxed RbAsPt crystal.

Summary:
The value obtained for the electronic total energy is -3.350 eV per atom.

Cell and atoms, written as extended XYZ:
```
3
Lattice="0.0000 3.4361 3.4361 3.4361 0.0000 3.4361 3.4361 3.4361 0.0000" Properties=species:S:1:pos:R:3 pbc="T T T"
As 0.0000 0.0000 0.0000
Pt 1.7180 1.7180 1.7180
Rb 5.1541 5.1541 5.1541
```


# 9
Density functional theory data (PBE-GGA) for a relaxed Li2Zn2SnGePd2 crystal.

Summary:
The value obtained for the electronic total energy is -3.613 eV per atom.

Cell and atoms, written as extended XYZ:
```
8
Lattice="-3.4794 -1.7003 -2.1471 -0.1506 -3.3474 2.8947 -3.9069 3.3539 3.6751" Properties=species:S:1:pos:R:3 pbc="T T T"
Ge 0.0000 0.0000 0.0000
Li -2.6450 -0.0730 -0.2220
Li -3.0768 0.9030 4.2709
Pd -1.0002 -0.8797 2.3174
Pd -4.7217 1.7098 1.7315
Sn -3.7684 -0.8469 2.2114
Zn -1.8150 -2.5238 0.3738
Zn -1.9534 1.6769 1.8376
```


# 10
Density functional theory data (PBE-GGA) for a relaxed Al2Re3 crystal.

Summary:
The value obtained for the electronic total energy is -8.329 eV per atom.

Cell and atoms, written as extended XYZ:
```
10
Lattice="3.3667 -3.7891 4.0899 -1.0714 6.2500 1.4864 -2.0847 -4.4188 2.8081" Properties=species:S:1:pos:R:3 pbc="T T T"
Al 1.1015 -0.6792 3.6499
Al 2.3705 -4.0889 4.6322
Al -2.1599 2.1310 3.7522
Al -0.8909 -1.2787 4.7345
Re 0.3469 1.7015 3.8475
Re -1.0489 2.0289 1.4647
Re -0.7472 4.1762 3.2057
Re 1.2595 -3.9868 6.9198
Re -0.1363 -3.6594 4.5369
Re 0.9578 -6.1341 5.1787
```


# 11
Density functional theory data (PBE-GGA) for a relaxed Dy6FeBi2 crystal.

Summary:
The value obtained for the electronic total energy is -5.315 eV per atom.

Cell and atoms, written as extended XYZ:
```
9
Lattice="-2.7814 2.1806 7.5442 3.5827 -7.4360 -1.1298 3.6976 1.6467 0.8873" Properties=species:S:1:pos:R:3 pbc="T T T"
Bi 1.1887 -0.2016 5.0965
Bi 3.3101 -3.4071 2.2052
Dy -1.6864 1.3221 4.5740
Dy 0.3155 -2.0690 2.5254
Dy 2.1722 -4.5084 -0.6850
Dy 1.2115 1.3230 2.1722
Dy 2.6697 -0.8804 0.1848
Dy 2.4665 -3.2279 5.3883
Fe 0.0000 0.0000 0.0000
```


# 12
Density functional theory data (PBE-GGA) for a relaxed NaHfGaNi crystal.

Summary:
The value obtained for the electronic total energy is -4.975 eV per atom.

Cell and atoms, written as extended XYZ:
```
4
Lattice="0.0000 3.1710 3.1710 3.1710 0.0000 3.1710 3.1710 3.1710 0.0000" Properties=species:S:1:pos:R:3 pbc="T T T"
Ga 3.1710 3.1710 3.1710
Hf 0.0000 0.0000 0.0000
Na 4.7565 4.7565 4.7565
Ni 1.5855 1.5855 1.5855
```


# 13
Density functional theory data (PBE-GGA) for a relaxed GdBeSO crystal.

Summary:
The value obtained for the electronic total energy is -6.050 eV per atom.

Cell and atoms, written as extended XYZ:
```
32
Lattice="-2.9111 0.8615 -5.7802 10.0007 -3.6241 -5.5769 -2.1516 -6.1862 0.1616" Properties=species:S:1:pos:R:3 pbc="T T T"
Be 3.4234 -2.4092 -5.0251
Be 9.2907 -4.4778 -6.0920
Be 1.5663 -3.1330 -7.8850
Be 7.4336 -5.2016 -8.9519
Be -2.4957 -3.7472 -2.2435
Be 3.3717 -5.8158 -3.3104
Be -4.3528 -4.4710 -5.1034
Be 1.5146 -6.5396 -6.1703
Gd 0.3081 -1.9539 -5.5523
Gd 4.9728 -3.6666 -9.0072
Gd 1.7432 -2.4436 -2.6607
Gd 6.4079 -4.1563 -6.1155
Gd -1.4699 -4.7925 -5.0798
Gd 3.1948 -6.5052 -8.5347
Gd -0.0349 -5.2822 -2.1882
Gd 4.6298 -6.9949 -5.6431
O 1.0374 -0.5047 -3.8856
O 7.1779 -2.6541 -4.4101
O -1.4677 -3.0916 -6.6968
O 4.6728 -5.2410 -7.2214
O 0.2651 -3.7078 -3.9740
O 6.4057 -5.8572 -4.4986
O -2.2400 -6.2947 -6.7853
O 3.9006 -8.4441 -7.3098
S -2.3484 -0.2416 -4.8058
S 2.9847 -2.1521 -6.9336
S -1.3901 -2.1021 -1.8783
S 3.9430 -4.0126 -4.0061
S 0.9950 -4.9362 -7.1893
S 6.3281 -6.8467 -9.3171
S 1.9532 -6.7967 -4.2618
S 7.2863 -8.7072 -6.3896
```


# 14
Density functional theory data (PBE-GGA) for a relaxed Ho3ZnOs2 crystal.

Summary:
Its calculated formation energy is 2.06 eV per formula unit.

Cell and atoms, written as extended XYZ:
```
6
Lattice="3.7149 -6.4372 0.0000 3.7149 6.4372 0.0000 0.0000 0.0000 3.4800" Properties=species:S:1:pos:R:3 pbc="T T T"
Ho 1.8574 -3.2186 0.0000
Ho 1.8574 3.2186 0.0000
Ho 3.7149 0.0000 0.0000
Os 3.7149 -2.1453 1.7400
Os 3.7149 2.1453 1.7400
Zn 0.0000 0.0000 1.7400
```


# 15
Density functional theory data (PBE-GGA) for a relaxed Pa2BO4 crystal.

Summary:
The value obtained for the electronic total energy is -8.266 eV per atom.

Cell and atoms, written as extended XYZ:
```
14
Lattice="-5.8843 2.2262 0.1737 2.9669 -0.4896 -5.5289 -1.7837 -5.2181 3.0334" Properties=species:S:1:pos:R:3 pbc="T T T"
B 0.0000 0.0000 0.0000
B -3.3757 0.1203 -1.8758
O -0.5393 -1.4167 -0.1656
O -2.3736 -0.6950 -2.6861
O -3.5759 -0.5199 -0.5064
O 1.1675 -2.0670 -2.7743
O -1.5834 -4.5778 1.6639
O -3.3599 -3.5203 -1.5970
O 0.1812 -4.8923 -1.6852
O -4.6200 -3.6810 1.3232
Pa -0.2044 -0.1846 -3.7024
Pa -1.0962 -2.7937 -2.1857
Pa -2.5797 -2.5489 0.5788
Pa -5.5218 -1.4358 0.6656
```


# 16
Density functional theory data (PBE-GGA) for a relaxed YAgSnS3 crystal.

Summary:
The value obtained for the electronic total energy is -5.276 eV per atom.

Cell and atoms, written as extended XYZ:
```
24
Lattice="-9.3711 7.3557 0.2524 -2.2164 -2.8777 1.5742 3.2335 3.7293 11.3700" Properties=species:S:1:pos:R:3 pbc="T T T"
Ag -7.1687 6.3038 1.4304
Ag -1.5648 3.6851 4.5334
Ag -5.6810 5.9610 7.8761
Ag -0.0771 3.3423 10.9792
S -5.5156 4.6474 0.7299
S -8.6178 7.9716 2.4388
S -2.8331 1.1854 3.1558
S -7.2127 5.2162 4.3578
S -3.5611 4.7218 3.6178
S 0.4585 2.4558 5.1349
S -7.7043 7.1904 7.2746
S -3.6847 4.9243 8.7918
S -0.0331 4.4299 8.0517
S -4.4126 8.4607 9.2538
S 1.3720 1.6746 9.9707
S -1.7302 4.9987 11.6796
Sn -1.3411 1.5710 0.9836
Sn -4.9447 6.4967 4.9143
Sn -2.3010 3.1494 7.4953
Sn -5.9046 8.0751 11.4259
Y -5.1852 2.7114 2.6336
Y -9.2343 7.1233 4.9978
Y 1.9885 2.5228 7.4117
Y -2.0606 6.9347 9.7759
```


# 17
Density functional theory data (PBE-GGA) for a relaxed CuNiMo4N2 crystal.

Summary:
The value obtained for the electronic total energy is -8.605 eV per atom.

Cell and atoms, written as extended XYZ:
```
8
Lattice="2.8057 0.0000 0.0000 -1.4029 2.4298 0.0000 0.0000 0.0000 14.4183" Properties=species:S:1:pos:R:3 pbc="T T T"
Cu 0.0000 0.0000 0.0000
Mo 1.4028 0.8099 2.2272
Mo 0.0000 0.0000 5.0652
Mo 0.0000 0.0000 9.3530
Mo 1.4028 0.8099 12.1910
N 0.0000 1.6199 3.6333
N 0.0000 1.6199 10.7849
Ni 1.4028 0.8099 7.2091
```


# 18
Density functional theory data (PBE-GGA) for a relaxed Ho3ErGe2C2 crystal.

Summary:
The value obtained for the electronic total energy is -6.240 eV per atom.

Cell and atoms, written as extended XYZ:
```
8
Lattice="3.5647 0.0000 0.0000 -1.7823 3.0871 0.0000 0.0000 0.0000 14.8877" Properties=species:S:1:pos:R:3 pbc="T T T"
C 0.0000 2.0581 7.4459
C 0.0000 2.0581 14.8802
Er 0.0000 0.0000 13.5435
Ge 0.0000 0.0000 3.7201
Ge 1.7823 1.0290 11.1755
Ho 1.7823 1.0290 1.3400
Ho 1.7823 1.0290 6.0959
Ho 0.0000 0.0000 8.7937
```


# 19
Density functional theory data (PBE-GGA) for a relaxed NbCdCuGe crystal.

Summary:
The value obtained for the electronic total energy is -4.501 eV per atom.

Cell and atoms, written as extended XYZ:
```
4
Lattice="0.0000 3.2418 3.2418 3.2418 0.0000 3.2418 3.2418 3.2418 0.0000" Properties=species:S:1:pos:R:3 pbc="T T T"
Cd 3.2418 3.2418 3.2418
Cu 4.8627 4.8627 4.8627
Ge 0.0000 0.0000 0.0000
Nb 1.6209 1.6209 1.6209
```


# 20
Density functional theory data (PBE-GGA) for a relaxed Lu2ScCo crystal.

Summary:
Its calculated formation energy is 0.84 eV per formula unit.

Cell and atoms, written as extended XYZ:
```
4
Lattice="0.0000 3.4915 3.4915 3.4915 0.0000 3.4915 3.4915 3.4915 0.0000" Properties=species:S:1:pos:R:3 pbc="T T T"
Co 1.7458 1.7458 1.7458
Lu 0.0000 0.0000 0.0000
Lu 5.2373 5.2373 5.2373
Sc 3.4915 3.4915 3.4915
```


# 21
Density functional theory data (PBE-GGA) for a relaxed NaHfAuS3 crystal.

Summary:
The value obtained for the electronic total energy is -5.526 eV per atom.

Cell and atoms, written as extended XYZ:
```
12
Lattice="-5.4433 -8.2431 -1.3151 5.1321 -3.8747 3.0441 -5.9595 3.8368 0.6175" Properties=species:S:1:pos:R:3 pbc="T T T"
Au -3.3541 -6.9953 1.0943
Au -2.9165 -1.2857 1.2522
Hf 0.0000 0.0000 0.0000
Hf -2.7217 -4.1216 -0.6576
Na 0.6407 -3.7589 2.0304
Na -6.9114 -4.5221 0.3160
S 0.4370 -9.6311 1.9237
S -1.7984 -5.2819 1.4635
S -4.3283 -9.1130 0.8523
S -1.9424 0.8320 1.4942
S -4.4723 -2.9991 0.8829
S -6.7077 1.3501 0.4227
```